Below is an optimized crystal structure of CuTe2Pb, with properties calculated at the PBEsol level.

Properties
Energy relative to the elements, uncorrected ... -0.46 kcal/mol of atoms
D(E_F) ... 2.66 states/eV per cell

```
CuTe2Pb
1.0
-0.533 3.932 0.499
-4.205 -0.394 -1.385
0.310 -0.791 6.567
Pb Te Cu
1 2 1
direct
0.500 0.419 0.708
0.000 0.032 0.942
0.500 0.709 0.305
0.000 0.840 0.545
```